The following is a DFT calculation (GGA+U) of a relaxed structure of YFeP2O.

The space group is P4/mmm, No. 123. The total energy is -6.079 eV per atom.

a = 4.787 Å, b = 4.787 Å, c = 3.727 Å
α = 90.00°, β = 90.00°, γ = 90.00°
Fractional coordinates of all 5 atoms:
Y1 0.000 0.000 0.000
Fe1 0.500 0.500 0.500
P1 0.000 0.500 0.500
P2 0.500 0.000 0.500
O1 0.500 0.500 0.000